A geometry-optimized Pu3Si2Pd structure. Source: Alexandria, functional PBE.

```
data_Pu3Si2Pd
_cell_length_a 6.045
_cell_length_b 14.661
_cell_length_c 5.767
_cell_angle_alpha 90.00
_cell_angle_beta 90.00
_cell_angle_gamma 90.00
_space_group_name_H-M_alt 'I b a m'
_space_group_IT_number 72
_space_group_name_Hall '-I 2 2c'
loop_
_atom_site_label
_atom_site_type_symbol
_atom_site_fract_x
_atom_site_fract_y
_atom_site_fract_z
Pu1 Pu 0.000 0.000 0.250
Pu2 Pu 0.231 0.178 0.000
Si1 Si 0.209 0.378 0.000
Pd1 Pd 0.000 0.500 0.250
```

Computed properties:
The calculated volume is 511 Å³ per cell. For the formation energy (no corrections), the calculation gives -0.36 eV per atom. As for the calculated total energy: -0.3749 Ha/atom.